{"formula": "CuAgPt2", "functional": "GGA-PBE", "state": "optimized geometry", "delta_e_f_kcal_per_mol_atoms": -3.12, "space_group": "R-3m, No. 166", "vol_a3_per_atom": 15.28, "mass_density_g_cm3": 15.26, "relative_energy_ev_per_atom": 0.000, "m_tot_mub_per_fu": 0.000, "cell": [[1.3975, 0.8069, 9.0331], [-1.3975, 0.8069, 9.0331], [0.0000, -1.6137, 9.0331]], "species": ["Cu", "Ag", "Pt", "Pt"], "fractional_positions": [[0.0000, 0.0000, 0.0000], [0.5000, 0.5000, 0.5000], [0.2558, 0.2558, 0.2558], [0.7442, 0.7442, 0.7442]]}

{"formula": "Ti5ReOs4", "functional": "GGA-PBE", "state": "optimized geometry", "delta_e_f_kcal_per_mol_atoms": -15.19, "space_group": "P4/mmm, No. 123", "vol_a3_per_atom": 14.85, "mass_density_g_cm3": 13.27, "m_tot_mub_per_fu": 0.000, "cell": [[3.0920, 0.0000, 0.0000], [0.0000, 3.0920, 0.0000], [0.0000, 0.0000, 15.5297]], "species": ["Ti", "Ti", "Ti", "Ti", "Ti", "Re", "Os", "Os", "Os", "Os"], "fractional_positions": [[0.0000, 0.0000, 0.0000], [0.0000, 0.0000, 0.2004], [0.0000, 0.0000, 0.4003], [0.0000, 0.0000, 0.5997], [0.0000, 0.0000, 0.7996], [0.5000, 0.5000, 0.5000], [0.5000, 0.5000, 0.0993], [0.5000, 0.5000, 0.2980], [0.5000, 0.5000, 0.7020], [0.5000, 0.5000, 0.9007]]}

{"formula": "Sm6Si3O", "functional": "GGA-PBE", "state": "optimized geometry", "space_group": "P2_1/c, No. 14", "vol_a3_per_atom": 24.88, "mass_density_g_cm3": 6.69, "e_form_raw_ev_per_atom": -0.951, "m_tot_mub_per_fu": 0.000, "cell": [[6.4309, 0.0000, 0.0000], [0.0000, 7.7794, 0.0000], [-6.2098, 0.0000, 9.9479]], "species": ["Sm", "Sm", "Sm", "Sm", "Sm", "Sm", "Sm", "Sm", "Sm", "Sm", "Sm", "Sm", "Si", "Si", "Si", "Si", "Si", "Si", "O", "O"], "fractional_positions": [[0.0965, 0.0468, 0.2357], [0.0965, 0.4532, 0.7357], [0.2006, 0.7015, 0.0613], [0.2006, 0.7985, 0.5613], [0.3867, 0.1652, 0.0585], [0.3867, 0.3348, 0.5585], [0.6133, 0.6652, 0.4415], [0.6133, 0.8348, 0.9415], [0.7994, 0.2015, 0.4387], [0.7994, 0.2985, 0.9387], [0.9035, 0.5468, 0.2643], [0.9035, 0.9532, 0.7643], [0.3154, 0.1116, 0.7502], [0.3154, 0.3884, 0.2502], [0.5000, 0.0000, 0.5000], [0.5000, 0.5000, 0.0000], [0.6846, 0.6116, 0.7498], [0.6846, 0.8884, 0.2498], [0.0000, 0.0000, 0.0000], [0.0000, 0.5000, 0.5000]]}

{"formula": "LiDyAu", "functional": "GGA-PBE", "state": "optimized geometry", "delta_e_f_kcal_per_mol_atoms": -11.93, "space_group": "P-6m2, No. 187", "vol_a3_per_atom": 21.03, "mass_density_g_cm3": 9.64, "relative_energy_ev_per_atom": 0.102, "m_tot_mub_per_fu": 0.000, "cell": [[4.4881, 0.0000, 0.0000], [-2.2441, 3.8868, 0.0000], [0.0000, 0.0000, 3.6173]], "species": ["Li", "Dy", "Au"], "fractional_positions": [[0.0000, 0.0000, 0.0000], [0.6667, 0.3333, 0.5000], [0.3333, 0.6667, 0.0000]]}

{"formula": "Tb2SmAs3", "functional": "GGA-PBE", "state": "optimized geometry", "delta_e_f_kcal_per_mol_atoms": -35.40, "space_group": "Immm, No. 71", "vol_a3_per_atom": 25.54, "mass_density_g_cm3": 7.51, "m_tot_mub_per_fu": 0.000, "cell": [[-2.0838, 2.9439, 6.2449], [2.0838, -2.9439, 6.2449], [2.0838, 2.9439, -6.2449]], "species": ["Tb", "Tb", "Sm", "As", "As", "As"], "fractional_positions": [[0.1663, 0.1663, 0.0000], [0.8337, 0.8337, 0.0000], [0.5000, 0.5000, 0.0000], [0.0000, 0.5000, 0.5000], [0.3309, 0.8309, 0.5000], [0.6691, 0.1691, 0.5000]]}

{"formula": "Sm2SnBi", "functional": "GGA-PBE", "state": "optimized geometry", "delta_e_f_kcal_per_mol_atoms": -17.07, "space_group": "R-3m, No. 166", "vol_a3_per_atom": 32.49, "mass_density_g_cm3": 8.03, "relative_energy_ev_per_atom": 0.093, "m_tot_mub_per_fu": 0.000, "cell": [[2.2035, 1.2722, 7.7267], [-2.2035, 1.2722, 7.7267], [0.0000, -2.5444, 7.7267]], "species": ["Sm", "Sm", "Sn", "Bi"], "fractional_positions": [[0.2502, 0.2502, 0.2502], [0.7498, 0.7498, 0.7498], [0.0000, 0.0000, 0.0000], [0.5000, 0.5000, 0.5000]]}

{"formula": "Fe4SiSe", "functional": "GGA-PBE", "state": "optimized geometry", "space_group": "F-43m, No. 216", "vol_a3_per_atom": 13.34, "mass_density_g_cm3": 6.86, "e_form_raw_ev_per_atom": 0.344, "m_tot_mub_per_fu": 9.023, "cell": [[0.0000, 3.4204, 3.4204], [3.4204, 0.0000, 3.4204], [3.4204, 3.4204, 0.0000]], "species": ["Fe", "Fe", "Fe", "Fe", "Si", "Se"], "fractional_positions": [[0.3757, 0.3757, 0.3757], [0.3757, 0.3757, 0.8730], [0.3757, 0.8730, 0.3757], [0.8730, 0.3757, 0.3757], [0.7500, 0.7500, 0.7500], [0.0000, 0.0000, 0.0000]]}

{"formula": "CoTeIr", "functional": "GGA-PBE", "state": "optimized geometry", "space_group": "I4mm, No. 107", "vol_a3_per_atom": 16.33, "mass_density_g_cm3": 12.84, "relative_energy_ev_per_atom": 0.156, "e_form_raw_ev_per_atom": 0.426, "m_tot_mub_per_fu": 1.447, "cell": [[-1.7872, 1.7872, 3.8348], [1.7872, -1.7872, 3.8348], [1.7872, 1.7872, -3.8348]], "species": ["Co", "Te", "Ir"], "fractional_positions": [[0.0000, 0.0000, 0.0000], [0.3194, 0.3194, 0.0000], [0.6576, 0.6576, 0.0000]]}

{"formula": "TbTa3O9", "functional": "GGA-PBE", "state": "optimized geometry", "space_group": "P2_1/m, No. 11", "vol_a3_per_atom": 12.79, "mass_density_g_cm3": 8.44, "relative_energy_ev_per_atom": 0.000, "e_form_raw_ev_per_atom": -3.040, "m_tot_mub_per_fu": 0.000, "cell": [[5.3213, 0.0000, 0.0000], [0.0000, 7.5299, 0.0000], [-0.3590, 0.0000, 8.3017]], "species": ["Tb", "Tb", "Ta", "Ta", "Ta", "Ta", "Ta", "Ta", "O", "O", "O", "O", "O", "O", "O", "O", "O", "O", "O", "O", "O", "O", "O", "O", "O", "O"], "fractional_positions": [[0.0344, 0.2500, 0.4346], [0.9656, 0.7500, 0.5654], [0.0000, 0.0000, 0.0000], [0.0000, 0.5000, 0.0000], [0.4717, 0.0071, 0.6966], [0.4717, 0.4929, 0.6966], [0.5283, 0.5071, 0.3034], [0.5283, 0.9929, 0.3034], [0.0944, 0.2500, 0.9791], [0.1496, 0.5635, 0.7849], [0.1496, 0.9365, 0.7849], [0.2587, 0.5424, 0.4674], [0.2587, 0.9576, 0.4674], [0.3239, 0.5527, 0.1212], [0.3239, 0.9473, 0.1212], [0.3378, 0.2500, 0.6550], [0.4248, 0.2500, 0.3141], [0.5752, 0.7500, 0.6859], [0.6622, 0.7500, 0.3450], [0.6761, 0.0527, 0.8788], [0.6761, 0.4473, 0.8788], [0.7413, 0.0424, 0.5326], [0.7413, 0.4576, 0.5326], [0.8504, 0.0635, 0.2151], [0.8504, 0.4365, 0.2151], [0.9056, 0.7500, 0.0209]]}

{"formula": "CePmAu5", "functional": "GGA-PBE", "state": "optimized geometry", "delta_e_f_kcal_per_mol_atoms": -12.12, "space_group": "P4/mmm, No. 123", "vol_a3_per_atom": 24.40, "mass_density_g_cm3": 12.35, "m_tot_mub_per_fu": 0.811, "cell": [[5.0290, 0.0000, 0.0000], [0.0000, 5.0290, 0.0000], [0.0000, 0.0000, 6.7539]], "species": ["Ce", "Pm", "Au", "Au", "Au", "Au", "Au"], "fractional_positions": [[0.0000, 0.0000, 0.0000], [0.5000, 0.5000, 0.5000], [0.0000, 0.0000, 0.5000], [0.0000, 0.5000, 0.2413], [0.0000, 0.5000, 0.7587], [0.5000, 0.0000, 0.2413], [0.5000, 0.0000, 0.7587]]}

{"formula": "La3Pr3Zn2Ga", "functional": "GGA-PBE", "state": "optimized geometry", "delta_e_f_kcal_per_mol_atoms": -5.33, "space_group": "P-62m, No. 189", "vol_a3_per_atom": 29.61, "mass_density_g_cm3": 6.48, "m_tot_mub_per_fu": 0.005, "cell": [[8.1957, 0.0000, 0.0000], [-4.0978, 7.0976, 0.0000], [0.0000, 0.0000, 4.5820]], "species": ["La", "La", "La", "Pr", "Pr", "Pr", "Zn", "Zn", "Ga"], "fractional_positions": [[0.0000, 0.7279, 0.0000], [0.2721, 0.2721, 0.0000], [0.7279, 0.0000, 0.0000], [0.0000, 0.4029, 0.5000], [0.4029, 0.0000, 0.5000], [0.5971, 0.5971, 0.5000], [0.3333, 0.6667, 0.0000], [0.6667, 0.3333, 0.0000], [0.0000, 0.0000, 0.5000]]}

{"formula": "AgHF2", "functional": "GGA-PBE", "state": "optimized geometry", "space_group": "I-42d, No. 122", "vol_a3_per_atom": 9.99, "mass_density_g_cm3": 6.10, "relative_energy_ev_per_atom": 0.446, "m_tot_mub_per_fu": 0.000, "cell": [[-2.3976, 2.3976, 3.4763], [2.3976, -2.3976, 3.4763], [2.3976, 2.3976, -3.4763]], "species": ["Ag", "Ag", "H", "H", "F", "F", "F", "F"], "fractional_positions": [[0.0000, 0.0000, 0.0000], [0.7500, 0.2500, 0.5000], [0.2500, 0.7500, 0.5000], [0.5000, 0.5000, 0.0000], [0.2818, 0.6250, 0.1568], [0.3750, 0.5318, 0.6568], [0.4682, 0.1250, 0.8432], [0.8750, 0.7182, 0.3432]]}